# Pm2Al5IrPd2, relaxed, DFT GGA-PBE
# - space group = P4/mbm, No. 127
data_Pm2Al5IrPd2
_chemical_formula_sum 'Pm4 Al10 Ir2 Pd4'
_cell_length_a 3.5910
_cell_length_b 10.2194
_cell_length_c 10.2194
_cell_angle_alpha 90.00
_cell_angle_beta 90.00
_cell_angle_gamma 90.00
_symmetry_space_group_name_H-M 'P 1'
_symmetry_Int_Tables_number 1
_symmetry_space_group_name_Hall 'P 1'
loop_
_atom_site_label
_atom_site_type_symbol
_atom_site_fract_x
_atom_site_fract_y
_atom_site_fract_z
Pm1 Pm 0.0000 0.6855 0.1855
Pm2 Pm 0.0000 0.3145 0.8145
Pm3 Pm 0.0000 0.1855 0.3145
Pm4 Pm 0.0000 0.8145 0.6855
Al1 Al 0.5000 0.1884 0.0446
Al2 Al 0.5000 0.8116 0.9554
Al3 Al 0.5000 0.0446 0.8116
Al4 Al 0.5000 0.6884 0.4554
Al5 Al 0.5000 0.9554 0.1884
Al6 Al 0.5000 0.3116 0.5446
Al7 Al 0.5000 0.5446 0.6884
Al8 Al 0.5000 0.4554 0.3116
Al9 Al 0.5000 0.5000 0.0000
Al10 Al 0.5000 0.0000 0.5000
Ir1 Ir 0.0000 0.0000 0.0000
Ir2 Ir 0.0000 0.5000 0.5000
Pd1 Pd 0.0000 0.1179 0.6179
Pd2 Pd 0.0000 0.8821 0.3821
Pd3 Pd 0.0000 0.6179 0.8821
Pd4 Pd 0.0000 0.3821 0.1179

# PmAlIrPd, relaxed, DFT GGA-PBE
# - space group = F-43m, No. 216
data_PmAlIrPd
_chemical_formula_sum 'Pm1 Al1 Ir1 Pd1'
_cell_length_a 4.7164
_cell_length_b 4.7164
_cell_length_c 4.7164
_cell_angle_alpha 60.00
_cell_angle_beta 60.00
_cell_angle_gamma 60.00
_symmetry_space_group_name_H-M 'P 1'
_symmetry_Int_Tables_number 1
_symmetry_space_group_name_Hall 'P 1'
loop_
_atom_site_label
_atom_site_type_symbol
_atom_site_fract_x
_atom_site_fract_y
_atom_site_fract_z
Ir1 Ir 0.0000 0.0000 0.0000
Al1 Al 0.7500 0.7500 0.7500
Pd1 Pd 0.5000 0.5000 0.5000
Pm1 Pm 0.2500 0.2500 0.2500

# PrAl2IrPd2, relaxed, DFT GGA-PBE
# - space group = P4/mmm, No. 123
data_PrAl2IrPd2
_chemical_formula_sum 'Pr1 Al2 Ir1 Pd2'
_cell_length_a 4.6801
_cell_length_b 4.6801
_cell_length_c 5.6164
_cell_angle_alpha 90.00
_cell_angle_beta 90.00
_cell_angle_gamma 90.00
_symmetry_space_group_name_H-M 'P 1'
_symmetry_Int_Tables_number 1
_symmetry_space_group_name_Hall 'P 1'
loop_
_atom_site_label
_atom_site_type_symbol
_atom_site_fract_x
_atom_site_fract_y
_atom_site_fract_z
Pr1 Pr 0.0000 0.0000 0.5000
Al1 Al 0.5000 0.0000 0.0000
Al2 Al 0.0000 0.5000 0.0000
Ir1 Ir 0.0000 0.0000 0.0000
Pd1 Pd 0.5000 0.5000 0.7458
Pd2 Pd 0.5000 0.5000 0.2542

We obtain energy of formation from the pure elements values of -0.630; -0.631; -0.591 eV/atom for the records listed above, in that order.
We obtain N(E_F) values of 7.152; 2.245; 2.344 states/eV/f.u. for the records listed above, in that order.